VASP calculation (GGA+U) on a relaxed MnI2O6 crystal.

Cell: 5.514 5.832 17.328 Å, 90.00 90.00 90.00°
Positions (direct):
Mn (0.208, 0.171, 0.092)
Mn (0.292, 0.829, 0.592)
Mn (0.708, 0.329, 0.908)
Mn (0.792, 0.671, 0.408)
I (0.031, 0.859, 0.923)
I (0.246, 0.725, 0.293)
I (0.254, 0.275, 0.793)
I (0.469, 0.141, 0.423)
I (0.531, 0.641, 0.077)
I (0.746, 0.775, 0.707)
I (0.754, 0.225, 0.207)
I (0.969, 0.359, 0.577)
O (0.022, 0.035, 0.203)
O (0.037, 0.468, 0.842)
O (0.057, 0.608, 0.516)
O (0.106, 0.493, 0.664)
O (0.125, 0.883, 0.379)
O (0.232, 0.177, 0.548)
O (0.268, 0.823, 0.048)
O (0.375, 0.117, 0.879)
O (0.394, 0.507, 0.164)
O (0.443, 0.392, 0.016)
O (0.463, 0.532, 0.342)
O (0.478, 0.965, 0.703)
O (0.522, 0.465, 0.797)
O (0.537, 0.032, 0.158)
O (0.557, 0.892, 0.484)
O (0.606, 0.007, 0.336)
O (0.625, 0.617, 0.621)
O (0.732, 0.323, 0.452)
O (0.768, 0.677, 0.952)
O (0.875, 0.383, 0.121)
O (0.894, 0.993, 0.836)
O (0.943, 0.108, 0.984)
O (0.963, 0.968, 0.658)
O (0.978, 0.535, 0.297)

Summary:
**Electronic total energy**: -185.5 eV/cell
**Symmetry**: No. 19
**Polymorph energy (0 for the lowest one)**: 0.16 eV per formula unit

***

VASP calculation (GGA+U) on a relaxed MnI2O crystal.

Cell: 7.210 7.210 7.210 Å, 90.00 90.00 90.00°
Positions (direct):
Mn (0.000, 0.000, 0.000)
Mn (0.000, 0.500, 0.500)
Mn (0.500, 0.000, 0.500)
Mn (0.500, 0.500, 0.000)
I (0.250, 0.250, 0.250)
I (0.250, 0.250, 0.750)
I (0.250, 0.750, 0.250)
I (0.250, 0.750, 0.750)
I (0.750, 0.250, 0.250)
I (0.750, 0.250, 0.750)
I (0.750, 0.750, 0.250)
I (0.750, 0.750, 0.750)
O (0.000, 0.000, 0.500)
O (0.000, 0.500, 0.000)
O (0.500, 0.000, 0.000)
O (0.500, 0.500, 0.500)

Summary:
**Electronic total energy**: -55.8 eV/cell
**Symmetry**: No. 225
**Polymorph energy (0 for the lowest one)**: 0.87 eV per formula unit

***

VASP calculation (GGA+U) on a relaxed MnI3O crystal.

Cell: 5.109 5.109 5.109 Å, 90.00 90.00 90.00°
Positions (direct):
Mn (0.000, 0.000, 0.000)
I (0.000, 0.500, 0.500)
I (0.500, 0.000, 0.500)
I (0.500, 0.500, 0.000)
O (0.500, 0.500, 0.500)

Summary:
**Electronic total energy**: -15.1 eV/cell
**Symmetry**: No. 221
**Polymorph energy (0 for the lowest one)**: 0.00 eV per formula unit

***

VASP calculation (GGA+U) on a relaxed Mn2I2O crystal.

Cell: 7.444 7.444 8.796 Å, 124.50 124.50 48.37°
Positions (direct):
Mn (0.003, 0.003, 0.338)
Mn (0.311, 0.311, 0.764)
Mn (0.689, 0.689, 0.236)
Mn (0.997, 0.997, 0.662)
I (0.183, 0.183, 0.273)
I (0.454, 0.454, 0.186)
I (0.546, 0.546, 0.814)
I (0.817, 0.817, 0.727)
O (0.132, 0.132, 0.635)
O (0.868, 0.868, 0.365)

Summary:
**Electronic total energy**: -54.9 eV/cell
**Symmetry**: No. 12

***

VASP calculation (GGA+U) on a relaxed MnI2O6 crystal.

Cell: 7.068 7.068 5.942 Å, 98.40 98.40 99.77°
Positions (direct):
Mn (0.083, 0.917, 0.750)
Mn (0.917, 0.083, 0.250)
I (0.196, 0.441, 0.794)
I (0.441, 0.196, 0.294)
I (0.559, 0.804, 0.706)
I (0.804, 0.559, 0.206)
O (0.033, 0.617, 0.811)
O (0.051, 0.199, 0.625)
O (0.199, 0.051, 0.125)
O (0.302, 0.509, 0.544)
O (0.383, 0.967, 0.689)
O (0.491, 0.698, 0.956)
O (0.509, 0.302, 0.044)
O (0.617, 0.033, 0.311)
O (0.698, 0.491, 0.456)
O (0.801, 0.949, 0.875)
O (0.949, 0.801, 0.375)
O (0.967, 0.383, 0.189)

Summary:
**Electronic total energy**: -91.7 eV/cell
**Symmetry**: No. 15
**Polymorph energy (0 for the lowest one)**: 0.70 eV per formula unit

***

VASP calculation (GGA+U) on a relaxed MnOsI2O crystal.

Cell: 5.655 5.655 3.764 Å, 90.00 90.00 90.00°
Positions (direct):
Mn (0.000, 0.000, 0.000)
Os (0.500, 0.500, 0.500)
I (0.000, 0.500, 0.500)
I (0.500, 0.000, 0.500)
O (0.500, 0.500, 0.000)

Summary:
**Electronic total energy**: -26.2 eV/cell
**Symmetry**: No. 123
**Polymorph energy (0 for the lowest one)**: 0.00 eV per formula unit